# 1
Here is a geometry-optimized MnTcBr2 structure from Alexandria. Energies are from PBE.

It has space group I-4m2 (No. 119), with a = 3.786 Å, b = 3.786 Å, c = 12.211 Å, α = 90.00°, β = 90.00° and γ = 90.00°. The inequivalent atoms are Mn at (0.000, 0.000, 0.000), Tc at (0.000, 0.500, 0.750), Br at (0.000, 0.000, 0.500) and Br at (0.000, 0.500, 0.250).

For the magnetic moment, the calculation gives 7.50 μB per formula unit. The value obtained for the formation energy (no corrections) is 0.783 eV/atom.



# 2
Here is a geometry-optimized Sr2TeRhS structure from Alexandria. Energies are from PBE.

It has space group P4/mmm (No. 123), with a = 5.834 Å, b = 5.834 Å, c = 4.333 Å, α = 90.00°, β = 90.00° and γ = 90.00°. The inequivalent atoms are Sr at (0.000, 0.500, 0.000), Te at (0.000, 0.000, 0.500), Rh at (0.500, 0.500, 0.500) and S at (0.500, 0.500, 0.000).

For the magnetic moment, the calculation gives 0.00 μB per formula unit. The value obtained for the formation energy (no corrections) is -1.126 eV/atom.



# 3
Here is a geometry-optimized KBi2Br8 structure from Alexandria. Energies are from PBE.

It has space group C2/m (No. 12), with a = 9.209 Å, b = 14.411 Å, c = 5.705 Å, α = 90.00°, β = 90.16° and γ = 90.00°. The inequivalent atoms are K at (0.000, 0.000, 0.000), Bi at (0.000, 0.294, 0.500), Br at (0.000, 0.248, 0.000), Br at (0.001, 0.500, 0.754) and Br at (0.189, 0.133, 0.502).

For the magnetic moment, the calculation gives 0.00 μB per formula unit. The value obtained for the formation energy (no corrections) is -0.783 eV/atom.



Please write out number 1 again, unchanged.
Here is a geometry-optimized MnTcBr2 structure from Alexandria. Energies are from PBE.

It has space group I-4m2 (No. 119), with a = 3.786 Å, b = 3.786 Å, c = 12.211 Å, α = 90.00°, β = 90.00° and γ = 90.00°. The inequivalent atoms are Mn at (0.000, 0.000, 0.000), Tc at (0.000, 0.500, 0.750), Br at (0.000, 0.000, 0.500) and Br at (0.000, 0.500, 0.250).

For the magnetic moment, the calculation gives 7.50 μB per formula unit. The value obtained for the formation energy (no corrections) is 0.783 eV/atom.